# ScBPN2

A relaxed ScBPN2 crystal (PBE, Alexandria via LeMat-Bulk).

- uncorrected formation energy (meV per atom) = 376
- uncorrected energy (hartree per atom) = -0.2439
- symmetry = P4/mmm
- calculated density (g cm⁻³) = 3.81

Cell lengths 3.7318, 3.5907, 3.7318 Å; angles 90.00, 90.00, 90.00 degrees
Sites, in units of the cell vectors:
Sc  0.5000  0.5000  0.5000
N  0.5000  0.0000  0.0000
P  0.0000  0.0000  0.0000
B  0.0000  0.5000  0.0000
N  0.0000  0.0000  0.5000